*one*
{"formula": "TcAu2Cl", "functional": "meta-GGA SCAN", "state": "single point on PBEsol structure", "lattice_angstrom": [[-1.886, 1.886, 4.914], [1.886, -1.886, 4.914], [1.886, 1.886, -4.914]], "species": ["Tc", "Au", "Au", "Cl"], "frac_coords": [[0.000, 0.000, 0.000], [0.250, 0.750, 0.500], [0.750, 0.250, 0.500], [0.500, 0.500, 0.000]], "spacegroup": "I4/mmm, No. 139"}

---

*two*
{"formula": "TcAu2Cl", "functional": "meta-GGA SCAN", "state": "single point on PBEsol structure", "lattice_angstrom": [[3.770, 0.000, 0.000], [0.000, 3.770, 0.000], [0.000, 0.000, 4.876]], "species": ["Tc", "Au", "Au", "Cl"], "frac_coords": [[0.000, 0.000, 0.000], [0.000, 0.500, 0.500], [0.500, 0.000, 0.500], [0.500, 0.500, 0.000]], "spacegroup": "P4/mmm, No. 123"}

---

*three*
{"formula": "TcAu2Cl", "functional": "meta-GGA SCAN", "state": "single point on PBEsol structure", "lattice_angstrom": [[2.904, 0.000, 0.000], [0.000, 2.904, 0.000], [0.000, 0.000, 7.917]], "species": ["Tc", "Au", "Au", "Cl"], "frac_coords": [[0.000, 0.000, 0.000], [0.500, 0.500, 0.233], [0.500, 0.500, 0.767], [0.000, 0.000, 0.500]], "spacegroup": "P4/mmm, No. 123"}

---

Least stable: *two*

---

*one*
{"formula": "TcAu2Cl", "functional": "meta-GGA SCAN", "state": "single point on PBEsol structure", "lattice_angstrom": [[0.000, 3.251, 3.251], [3.251, 0.000, 3.251], [3.251, 3.251, 0.000]], "species": ["Tc", "Au", "Au", "Cl"], "frac_coords": [[0.000, 0.000, 0.000], [0.250, 0.250, 0.250], [0.500, 0.500, 0.500], [0.750, 0.750, 0.750]], "spacegroup": "F-43m, No. 216"}

---

*two*
{"formula": "TcAu2Cl", "functional": "meta-GGA SCAN", "state": "single point on PBEsol structure", "lattice_angstrom": [[1.455, 0.840, 9.169], [-1.455, 0.840, 9.169], [0.000, -1.680, 9.169]], "species": ["Tc", "Au", "Au", "Cl"], "frac_coords": [[0.000, 0.000, 0.000], [0.254, 0.254, 0.254], [0.503, 0.503, 0.503], [0.728, 0.728, 0.728]], "spacegroup": "R3m, No. 160"}

---

Least stable: *one*

---

*one*
{"formula": "TlAuCl2", "functional": "meta-GGA SCAN", "state": "single point on PBEsol structure", "lattice_angstrom": [[0.000, 3.532, 3.532], [3.532, 0.000, 3.532], [3.532, 3.532, 0.000]], "species": ["Tl", "Au", "Cl", "Cl"], "frac_coords": [[0.000, 0.000, 0.000], [0.500, 0.500, 0.500], [0.250, 0.250, 0.250], [0.750, 0.750, 0.750]], "spacegroup": "Fm-3m, No. 225"}

---

*two*
{"formula": "TlAuCl2", "functional": "meta-GGA SCAN", "state": "single point on PBEsol structure", "lattice_angstrom": [[2.480, 1.432, 7.166], [-2.480, 1.432, 7.166], [0.000, -2.863, 7.166]], "species": ["Tl", "Au", "Cl", "Cl"], "frac_coords": [[0.000, 0.000, 0.000], [0.500, 0.500, 0.500], [0.396, 0.396, 0.396], [0.604, 0.604, 0.604]], "spacegroup": "R-3m, No. 166"}

---

Least stable: *one*

---

*one*
{"formula": "TlAu2Cl", "functional": "meta-GGA SCAN", "state": "single point on PBEsol structure", "lattice_angstrom": [[3.925, 0.000, 0.000], [0.000, 3.925, 0.000], [0.000, 0.000, 5.707]], "species": ["Tl", "Au", "Au", "Cl"], "frac_coords": [[0.000, 0.000, 0.000], [0.000, 0.500, 0.500], [0.500, 0.000, 0.500], [0.500, 0.500, 0.000]], "spacegroup": "P4/mmm, No. 123"}

---

*two*
{"formula": "TlAu2Cl", "functional": "meta-GGA SCAN", "state": "single point on PBEsol structure", "lattice_angstrom": [[3.837, 0.000, 0.000], [0.000, 3.837, 0.000], [0.000, 0.000, 5.735]], "species": ["Tl", "Au", "Au", "Cl"], "frac_coords": [[0.000, 0.000, 0.000], [0.500, 0.500, 0.242], [0.500, 0.500, 0.758], [0.000, 0.000, 0.500]], "spacegroup": "P4/mmm, No. 123"}

---

Least stable: *two*

---

*one*
{"formula": "W2AuCl", "functional": "meta-GGA SCAN", "state": "single point on PBEsol structure", "lattice_angstrom": [[0.000, 3.200, 3.200], [3.200, 0.000, 3.200], [3.200, 3.200, 0.000]], "species": ["W", "W", "Au", "Cl"], "frac_coords": [[0.000, 0.000, 0.000], [0.250, 0.250, 0.250], [0.750, 0.750, 0.750], [0.500, 0.500, 0.500]], "spacegroup": "F-43m, No. 216"}

---

*two*
{"formula": "W2AuCl", "functional": "meta-GGA SCAN", "state": "single point on PBEsol structure", "lattice_angstrom": [[1.432, 0.827, 9.347], [-1.432, 0.827, 9.347], [0.000, -1.653, 9.347]], "species": ["W", "W", "Au", "Cl"], "frac_coords": [[0.000, 0.000, 0.000], [0.250, 0.250, 0.250], [0.749, 0.749, 0.749], [0.518, 0.518, 0.518]], "spacegroup": "R3m, No. 160"}

---

*three*
{"formula": "W2AuCl", "functional": "meta-GGA SCAN", "state": "single point on PBEsol structure", "lattice_angstrom": [[2.988, 0.000, 0.000], [0.000, 2.988, 0.000], [0.000, 0.000, 6.688]], "species": ["W", "W", "Au", "Cl"], "frac_coords": [[0.000, 0.000, 0.227], [0.000, 0.000, 0.773], [0.500, 0.500, 0.500], [0.500, 0.500, 0.000]], "spacegroup": "P4/mmm, No. 123"}

---

Least stable: *one*

---

*one*
{"formula": "W2AuCl", "functional": "meta-GGA SCAN", "state": "single point on PBEsol structure", "lattice_angstrom": [[1.429, 0.825, 8.761], [-1.429, 0.825, 8.761], [0.000, -1.651, 8.761]], "species": ["W", "W", "Au", "Cl"], "frac_coords": [[0.246, 0.246, 0.246], [0.754, 0.754, 0.754], [0.000, 0.000, 0.000], [0.500, 0.500, 0.500]], "spacegroup": "R-3m, No. 166"}

---

*two*
{"formula": "W2AuCl", "functional": "meta-GGA SCAN", "state": "single point on PBEsol structure", "lattice_angstrom": [[2.846, 0.000, 0.000], [0.000, 2.846, 0.000], [0.000, 0.000, 8.832]], "species": ["W", "W", "Au", "Cl"], "frac_coords": [[0.000, 0.000, 0.000], [0.500, 0.500, 0.219], [0.000, 0.000, 0.442], [0.500, 0.500, 0.815]], "spacegroup": "P4mm, No. 99"}

---

*three*
{"formula": "W2AuCl", "functional": "meta-GGA SCAN", "state": "single point on PBEsol structure", "lattice_angstrom": [[-1.473, 2.379, 4.917], [1.473, -2.379, 4.917], [1.473, 2.379, -4.917]], "species": ["W", "W", "Au", "Cl"], "frac_coords": [[0.000, 0.000, 0.000], [0.803, 0.303, 0.500], [0.289, 0.789, 0.500], [0.570, 0.570, 0.000]], "spacegroup": "Imm2, No. 44"}

---

Least stable: *three*